No. 1
The following is a PBE-GGA calculation of crystalline BaTc3Ru at its relaxed geometry, from Alexandria.

## Properties
The value obtained for the energy above the most stable polymorph in this dataset is 2.077 eV per atom. Its total energy is -25.317 eV/cell. As for the formation energy from the elements: 3.396 eV/atom. As for the total moment: 0.001 μB/f.u.

Lattice parameters (Å, degrees): 4.8306 4.8306 4.8306 90.00 90.00 90.00
Fractional coordinates of all 5 atoms:
Ru1 0.5000 0.5000 0.5000
Ba1 0.0000 0.0000 0.0000
Tc1 0.0000 0.5000 0.0000
Tc2 0.0000 0.0000 0.5000
Tc3 0.5000 0.0000 0.0000

No. 2
The following is a PBE-GGA calculation of crystalline SrZr2B at its relaxed geometry, from Alexandria.

## Properties
Its total energy is -45.895 eV/cell. As for the formation energy from the elements: 0.627 eV/atom. As for the total moment: 1.003 μB/f.u.

Lattice parameters (Å, degrees): 7.0651 7.0651 7.1004 60.16 60.16 90.00
Site moments in Bohr magnetons follow the coordinates.
Fractional coordinates of all 8 atoms:
Sr1 0.0000 0.0000 0.0000  0.03
Sr2 0.7500 0.2500 0.5000  0.03
B1 0.5000 0.5000 0.0000  0.01
B2 0.2500 0.7500 0.5000  0.01
Zr1 0.4119 0.1250 0.2500  0.23
Zr2 0.3381 0.6250 0.2500  0.27
Zr3 0.3750 0.5881 0.7500  0.24
Zr4 0.8750 0.6619 0.7500  0.20

> Among the records above, which one has the highest total moment?

SrZr2B

> What is the formula in the second record?

SrZr2B

> Which value of total moment does entry 2 give?

1.003 μB/f.u.

Please write out number 1 again, unchanged.
The following is a PBE-GGA calculation of crystalline BaTc3Ru at its relaxed geometry, from Alexandria.

## Properties
The value obtained for the energy above the most stable polymorph in this dataset is 2.077 eV per atom. Its total energy is -25.317 eV/cell. As for the formation energy from the elements: 3.396 eV/atom. As for the total moment: 0.001 μB/f.u.

Lattice parameters (Å, degrees): 4.8306 4.8306 4.8306 90.00 90.00 90.00
Fractional coordinates of all 5 atoms:
Ru1 0.5000 0.5000 0.5000
Ba1 0.0000 0.0000 0.0000
Tc1 0.0000 0.5000 0.0000
Tc2 0.0000 0.0000 0.5000
Tc3 0.5000 0.0000 0.0000